Density functional theory data (GGA-PBE) for a relaxed ScAgF3 crystal.

Cell: 5.8924 8.2679 5.6174 Å, 90.00 90.00 90.00°
With the nearest neighbours (Å) after each atom.
Fractional positions:
1 Sc 0.0000 0.0000 0.0000  6 F 2.03-2.10
2 Sc 0.0000 0.5000 0.0000  6 F 2.03-2.10
3 Sc 0.5000 0.0000 0.5000  6 F 2.03-2.10
4 Sc 0.5000 0.5000 0.5000  6 F 2.03-2.10
5 Ag 0.0083 0.2500 0.4271  12 F 2.78-3.08
6 Ag 0.4917 0.7500 0.9271  12 F 2.78-3.08
7 Ag 0.5083 0.2500 0.0729  12 F 2.78-3.08
8 Ag 0.9917 0.7500 0.5729  12 F 2.78-3.08
9 F 0.0066 0.2500 0.9318  2 Sc 2.10
10 F 0.2426 0.0244 0.7383  2 Sc 2.03-2.06
11 F 0.2426 0.4756 0.7383  2 Sc 2.03-2.06
12 F 0.2574 0.5244 0.2383  2 Sc 2.03-2.06
13 F 0.2574 0.9756 0.2383  2 Sc 2.03-2.06
14 F 0.4934 0.7500 0.4318  2 Sc 2.10
15 F 0.5066 0.2500 0.5682  2 Sc 2.10
16 F 0.7426 0.0244 0.7617  2 Sc 2.03-2.06
17 F 0.7426 0.4756 0.7617  2 Sc 2.03-2.06
18 F 0.7574 0.5244 0.2617  2 Sc 2.03-2.06
19 F 0.7574 0.9756 0.2617  2 Sc 2.03-2.06
20 F 0.9934 0.7500 0.0682  2 Sc 2.10

Values from the calculation:
Energy relative to the lowest polymorph listed for this composition = 44 kJ/mol of formula units
Symmetry = No. 62


Density functional theory data (GGA-PBE) for a relaxed NaNbCoTe3 crystal.

Cell: 8.0280 8.0280 10.0744 Å, 90.00 90.00 153.22°
With the nearest neighbours (Å) after each atom.
Fractional positions:
1 Na 0.2477 0.7523 0.7500  6 Te 3.20
2 Na 0.7523 0.2477 0.2500  6 Te 3.20
3 Nb 0.0000 0.0000 0.0000  6 Te 2.83-2.85, 4 Co 3.15
4 Nb 0.0000 0.0000 0.5000  6 Te 2.83-2.85, 4 Co 3.15
5 Co 0.4787 0.5213 0.2500  4 Te 2.49-2.50
6 Co 0.5213 0.4787 0.7500  4 Te 2.49-2.50
7 Te 0.0858 0.9142 0.2500  2 Co 2.50
8 Te 0.3706 0.6294 0.0677  1 Co 2.49
9 Te 0.3706 0.6294 0.4323  1 Co 2.49
10 Te 0.6294 0.3706 0.5677  1 Co 2.49
11 Te 0.6294 0.3706 0.9323  1 Co 2.49
12 Te 0.9142 0.0858 0.7500  2 Co 2.50

Values from the calculation:
Symmetry = No. 63
E_tot = -5.058 eV per atom